No. 1
The following is a PBE with a Hubbard U calculation of a relaxed LiCoBi2O5 crystal, from Alexandria.

The space group is Cmc2_1 (No. 36) and the conventional cell measures 3.3702, 14.5850 and 9.3675 Å, with angles of 90.00, 90.00 and 90.00 degrees. The inequivalent atoms are Li at (0.0000, 0.2256, 0.0000), Co at (0.0000, 0.4181, 0.5025), Bi at (0.0000, 0.1097, 0.3081), Bi at (0.0000, 0.1200, 0.6941), O at (0.0000, 0.0317, 0.0918), O at (0.0000, 0.3136, 0.3863), O at (0.0000, 0.3311, 0.6641), O at (0.0000, 0.3519, 0.0390) and O at (0.0000, 0.4893, 0.3337).

The calculated volume is 460.4 Å³ per cell. The calculation puts the calculated total energy at -5.586 eV/atom. The calculation puts the density of states at the Fermi level at 4.0 states/eV per cell.

---

No. 2
The following is a PBE with a Hubbard U calculation of a relaxed LiCoBiO4 crystal, from Alexandria.

The space group is Imma (No. 74) and the conventional cell measures 5.9442, 6.9525 and 8.6117 Å, with angles of 90.00, 90.00 and 90.00 degrees. The inequivalent atoms are Li at (0.0000, 0.2500, 0.1046), Co at (0.2500, 0.2500, 0.7500), Bi at (0.0000, 0.0000, 0.5000), O at (0.0000, 0.0624, 0.7575) and O at (0.2423, 0.2500, 0.5224).

The calculated volume is 355.9 Å³ per cell. The calculation puts the calculated total energy at -5.522 eV/atom. The calculation puts the density of states at the Fermi level at 12.0 states/eV per cell.

---

No. 3
The following is a PBE with a Hubbard U calculation of a relaxed Li2Co3BiO8 crystal, from Alexandria.

The space group is R-3m (No. 166, hexagonal axes) and the conventional cell measures 5.8019, 5.8019 and 15.2252 Å, with angles of 90.00, 90.00 and 120.00 degrees. The inequivalent atoms are Li at (0.0000, 0.0000, 0.1219), Co at (0.0000, 0.5000, 0.0000), Bi at (0.0000, 0.0000, 0.5000), O at (0.0000, 0.0000, 0.2667) and O at (0.0208, 0.5104, 0.2643).

The calculated volume is 443.9 Å³ per cell. The calculation puts the calculated total energy at -5.691 eV/atom.